Material: Cs2MnF
Method: DFT, PBE+U
State: optimized geometry

Geometry as CIF:
```
data_Cs2MnF
_cell_length_a 8.960
_cell_length_b 8.960
_cell_length_c 8.960
_cell_angle_alpha 90.00
_cell_angle_beta 90.00
_cell_angle_gamma 90.00
_symmetry_space_group_name_H-M 'F m -3 m'
_symmetry_Int_Tables_number 225
_symmetry_space_group_name_Hall '-F 4 2 3'
loop_
_atom_site_label
_atom_site_type_symbol
_atom_site_fract_x
_atom_site_fract_y
_atom_site_fract_z
Cs1 Cs 0.250 0.250 0.250
Mn1 Mn 0.000 0.000 0.000
F1 F 0.000 0.000 0.500
```

Properties
**Calculated density**: 3.14 g cm⁻³
**DFT total energy**: -3.173 eV per atom
**Excess energy over the best structure of this formula in the dataset**: 0.370 eV/atom